{
  "formula": "Mg2AlRh",
  "functional": "GGA-PBE",
  "state": "optimized geometry",
  "crystal_system": "cubic",
  "e_form_ev_per_atom": -0.402,
  "space_group": "F-43m, No. 216",
  "volume_a3_per_cell": 65,
  "lattice": [[0.000, 3.186, 3.186], [3.186, 0.000, 3.186], [3.186, 3.186, 0.000]],
  "species": ["Mg", "Mg", "Al", "Rh"],
  "fractional_positions": [[0.000, 0.000, 0.000], [0.250, 0.250, 0.250], [0.500, 0.500, 0.500], [0.750, 0.750, 0.750]]
}

***

{
  "formula": "BaCrIn2",
  "functional": "GGA-PBE",
  "state": "optimized geometry",
  "crystal_system": "tetragonal",
  "e_form_ev_per_atom": 0.034,
  "space_group": "P4/mmm, No. 123",
  "volume_a3_per_cell": 110,
  "lattice": [[3.686, 0.000, 0.000], [0.000, 3.686, 0.000], [0.000, 0.000, 8.123]],
  "species": ["Ba", "Cr", "In", "In"],
  "fractional_positions": [[0.000, 0.000, 0.000], [0.000, 0.000, 0.500], [0.500, 0.500, 0.313], [0.500, 0.500, 0.687]]
}

***

{
  "formula": "KCeAs2",
  "functional": "GGA-PBE",
  "state": "optimized geometry",
  "crystal_system": "trigonal",
  "relative_energy_mev_per_atom": 25,
  "e_form_ev_per_atom": -0.711,
  "space_group": "R3m, No. 160",
  "volume_a3_per_cell": 128,
  "lattice": [[2.187, 1.263, 7.724], [-2.187, 1.263, 7.724], [0.000, -2.525, 7.724]],
  "species": ["K", "Ce", "As", "As"],
  "fractional_positions": [[0.000, 0.000, 0.000], [0.171, 0.171, 0.171], [0.566, 0.566, 0.566], [0.775, 0.775, 0.775]]
}

***

{
  "formula": "Al2ReMo",
  "functional": "GGA-PBE",
  "state": "optimized geometry",
  "crystal_system": "orthorhombic",
  "relative_energy_mev_per_atom": 210,
  "e_form_ev_per_atom": -0.100,
  "space_group": "Pmmm, No. 47",
  "volume_a3_per_cell": 60,
  "lattice": [[3.173, 0.000, 0.000], [0.000, 4.266, 0.000], [0.000, 0.000, 4.428]],
  "species": ["Al", "Al", "Re", "Mo"],
  "fractional_positions": [[0.000, 0.000, 0.000], [0.500, 0.000, 0.500], [0.000, 0.500, 0.500], [0.500, 0.500, 0.000]]
}

***

{
  "formula": "La2ErPu",
  "functional": "GGA-PBE",
  "state": "optimized geometry",
  "crystal_system": "tetragonal",
  "relative_energy_mev_per_atom": 30,
  "e_form_ev_per_atom": 0.142,
  "space_group": "P4/mmm, No. 123",
  "volume_a3_per_cell": 129,
  "lattice": [[5.121, 0.000, 0.000], [0.000, 5.121, 0.000], [0.000, 0.000, 4.930]],
  "species": ["La", "La", "Er", "Pu"],
  "fractional_positions": [[0.000, 0.500, 0.000], [0.500, 0.000, 0.000], [0.000, 0.000, 0.500], [0.500, 0.500, 0.500]]
}

***

{
  "formula": "Ce2ErZn2Sn2",
  "functional": "GGA-PBE",
  "state": "optimized geometry",
  "crystal_system": "trigonal",
  "e_form_ev_per_atom": -0.315,
  "space_group": "R-3m, No. 166",
  "volume_a3_per_cell": 166,
  "lattice": [[2.267, 1.309, 9.303], [-2.267, 1.309, 9.303], [0.000, -2.618, 9.303]],
  "species": ["Ce", "Ce", "Er", "Zn", "Zn", "Sn", "Sn"],
  "fractional_positions": [[0.142, 0.142, 0.142], [0.858, 0.858, 0.858], [0.000, 0.000, 0.000], [0.418, 0.418, 0.418], [0.582, 0.582, 0.582], [0.270, 0.270, 0.270], [0.730, 0.730, 0.730]]
}